This record from the Alexandria database describes a relaxed structure of K2Tb2TcO6. The functional is GGA-PBE.

Values from the calculation:
The value obtained for the uncorrected formation energy is -2.362 eV per atom. As for the space group: No. 12. The total magnetic moment is 0.273 μB/atom.

abc: 5.7997 5.7997 6.5937
angles: 97.74 97.74 119.51
With the nearest neighbours (Å) after each atom.
Atoms (fractional coordinates):
K  0.8389  0.1611  0.0000  6 O 2.73-3.00
K  0.1611  0.8389  0.0000  6 O 2.73-3.00
Tb  0.3352  0.6649  0.5000  6 O 2.28-2.31
Tb  0.6649  0.3352  0.5000  6 O 2.28-2.31
Tc  0.0000  0.0000  0.5000  6 O 2.08-2.10
O  0.7521  0.7521  0.6747  1 Tc 2.08, 2 Tb 2.31
O  0.0483  0.3599  0.6725  1 Tc 2.10, 2 Tb 2.28-2.31
O  0.2479  0.2479  0.3253  1 Tc 2.08, 2 Tb 2.31
O  0.3599  0.0483  0.6725  1 Tc 2.10, 2 Tb 2.28-2.31
O  0.9517  0.6401  0.3275  1 Tc 2.10, 2 Tb 2.28-2.31
O  0.6401  0.9517  0.3275  1 Tc 2.10, 2 Tb 2.28-2.31